# 1
The following is a PBE calculation of a relaxed structure of HoCS, from Alexandria.

Properties
Polymorph energy (0 for the lowest one) (eV/atom): 0.0000
Total moment (μB per cell): 0.00
Crystal system: monoclinic

```
data_HoCS
_chemical_formula_sum 'Ho4 C4 S4'
_cell_length_a 7.2811
_cell_length_b 3.9199
_cell_length_c 9.5749
_cell_angle_alpha 90.00
_cell_angle_beta 91.03
_cell_angle_gamma 90.00
_space_group_name_H-M_alt 'C 1 2/m 1'
_space_group_IT_number 12
loop_
_space_group_symop_operation_xyz
'x,y,z'
'-x,-y,-z'
'-x,y,-z'
'x,-y,z'
'x+1/2,y+1/2,z'
'-x+1/2,-y+1/2,-z'
'-x+1/2,y+1/2,-z'
'x+1/2,-y+1/2,z'
loop_
_atom_site_label
_atom_site_type_symbol
_atom_site_fract_x
_atom_site_fract_y
_atom_site_fract_z
Ho1 Ho 0.1504 0.0000 0.1819
C1 C 0.0792 0.5000 0.9735
S1 S 0.1757 0.0000 0.6942
```

# 2
The following is a PBE calculation of a relaxed structure of MnBe3B, from Alexandria.

Properties
Polymorph energy (0 for the lowest one) (eV/atom): 1.3189
Energy relative to the elements (eV per atom): 1.806
Total moment (μB per cell): 1.67
Crystal system: cubic

```
data_MnBe3B
_chemical_formula_sum 'Mn1 Be3 B1'
_cell_length_a 3.9877
_cell_length_b 3.9877
_cell_length_c 3.9877
_cell_angle_alpha 90.00
_cell_angle_beta 90.00
_cell_angle_gamma 90.00
_space_group_name_H-M_alt 'P m -3 m'
_space_group_IT_number 221
_space_group_name_Hall '-P 4 2 3'
loop_
_atom_site_label
_atom_site_type_symbol
_atom_site_fract_x
_atom_site_fract_y
_atom_site_fract_z
Mn1 Mn 0.0000 0.0000 0.0000
Be1 Be 0.0000 0.0000 0.5000
B1 B 0.5000 0.5000 0.5000
```

# 3
The following is a PBE calculation of a relaxed structure of TaHgCl2, from Alexandria.

Properties
Polymorph energy (0 for the lowest one) (eV/atom): 0.5236
Total moment (μB per cell): 0.96
Crystal system: tetragonal

```
data_TaHgCl2
_chemical_formula_sum 'Ta1 Hg1 Cl2'
_cell_length_a 3.1740
_cell_length_b 3.1740
_cell_length_c 8.2276
_cell_angle_alpha 90.00
_cell_angle_beta 90.00
_cell_angle_gamma 90.00
_space_group_name_H-M_alt 'P 4 m m'
_space_group_IT_number 99
loop_
_space_group_symop_operation_xyz
'x,y,z'
'-y,x,z'
'-x,-y,z'
'y,-x,z'
'-x,y,z'
'y,x,z'
'x,-y,z'
'-y,-x,z'
loop_
_atom_site_label
_atom_site_type_symbol
_atom_site_fract_x
_atom_site_fract_y
_atom_site_fract_z
Ta1 Ta 0.0000 0.0000 0.0000
Hg1 Hg 0.5000 0.5000 0.7532
Cl1 Cl 0.0000 0.0000 0.5277
Cl2 Cl 0.5000 0.5000 0.1767
```

# 4
The following is a PBE calculation of a relaxed structure of KSb, from Alexandria.

Properties
Polymorph energy (0 for the lowest one) (eV/atom): 0.3660
Total moment (μB per cell): 0.00
Crystal system: cubic

```
data_KSb
_chemical_formula_sum 'K1 Sb1'
_cell_length_a 4.1170
_cell_length_b 4.1170
_cell_length_c 4.1170
_cell_angle_alpha 90.00
_cell_angle_beta 90.00
_cell_angle_gamma 90.00
_space_group_name_H-M_alt 'P m -3 m'
_space_group_IT_number 221
_space_group_name_Hall '-P 4 2 3'
loop_
_atom_site_label
_atom_site_type_symbol
_atom_site_fract_x
_atom_site_fract_y
_atom_site_fract_z
K1 K 0.0000 0.0000 0.0000
Sb1 Sb 0.5000 0.5000 0.5000
```

# 5
The following is a PBE calculation of a relaxed structure of LiMgCl2, from Alexandria.

Properties
Polymorph energy (0 for the lowest one) (eV/atom): 0.0000
Total moment (μB per cell): 0.00
Crystal system: trigonal

```
data_LiMgCl2
_chemical_formula_sum 'Li3 Mg3 Cl6'
_cell_length_a 3.7198
_cell_length_b 3.7198
_cell_length_c 22.9051
_cell_angle_alpha 90.00
_cell_angle_beta 90.00
_cell_angle_gamma 120.00
_space_group_name_H-M_alt 'R -3 m'
_space_group_IT_number 166
_space_group_name_Hall '-R 3 2"'
loop_
_atom_site_label
_atom_site_type_symbol
_atom_site_fract_x
_atom_site_fract_y
_atom_site_fract_z
Li1 Li 0.0000 0.0000 0.0000
Mg1 Mg 0.0000 0.0000 0.5000
Cl1 Cl 0.0000 0.0000 0.3947
```

# 6
The following is a PBE calculation of a relaxed structure of Na2PmPdO4, from Alexandria.

Properties
Total moment (μB per cell): 0.13
Crystal system: monoclinic

```
data_Na2PmPdO4
_chemical_formula_sum 'Na2 Pm1 Pd1 O4'
_cell_length_a 5.4995
_cell_length_b 3.5168
_cell_length_c 5.9185
_cell_angle_alpha 90.00
_cell_angle_beta 109.02
_cell_angle_gamma 90.00
_space_group_name_H-M_alt 'P 1 2/m 1'
_space_group_IT_number 10
loop_
_space_group_symop_operation_xyz
'x,y,z'
'-x,-y,-z'
'-x,y,-z'
'x,-y,z'
loop_
_atom_site_label
_atom_site_type_symbol
_atom_site_fract_x
_atom_site_fract_y
_atom_site_fract_z
Na1 Na 0.0000 0.0000 0.0000
Na2 Na 0.5000 0.5000 0.0000
Pm1 Pm 0.0000 0.5000 0.5000
Pd1 Pd 0.5000 0.0000 0.5000
O1 O 0.2592 0.0000 0.7162
O2 O 0.2857 0.5000 0.2833
```

# 7
The following is a PBE calculation of a relaxed structure of Na2CdGeAs, from Alexandria.

Properties
Energy relative to the elements (eV per atom): 0.476
Total moment (μB per cell): 0.00
Crystal system: tetragonal

```
data_Na2CdGeAs
_chemical_formula_sum 'Na2 Cd1 Ge1 As1'
_cell_length_a 5.4578
_cell_length_b 5.4578
_cell_length_c 4.9592
_cell_angle_alpha 90.00
_cell_angle_beta 90.00
_cell_angle_gamma 90.00
_space_group_name_H-M_alt 'P 4/m m m'
_space_group_IT_number 123
_space_group_name_Hall '-P 4 2'
loop_
_atom_site_label
_atom_site_type_symbol
_atom_site_fract_x
_atom_site_fract_y
_atom_site_fract_z
Na1 Na 0.0000 0.5000 0.0000
Cd1 Cd 0.0000 0.0000 0.0000
Ge1 Ge 0.0000 0.0000 0.5000
As1 As 0.5000 0.5000 0.5000
```

# 8
The following is a PBE calculation of a relaxed structure of Pr2NpCdO8, from Alexandria.

Properties
Total moment (μB per cell): 0.94
Crystal system: triclinic

```
data_Pr2NpCdO8
_chemical_formula_sum 'Pr2 Np1 Cd1 O8'
_cell_length_a 4.0668
_cell_length_b 5.3998
_cell_length_c 7.9653
_cell_angle_alpha 89.76
_cell_angle_beta 89.90
_cell_angle_gamma 83.16
_space_group_name_H-M_alt 'P -1'
_space_group_IT_number 2
loop_
_space_group_symop_operation_xyz
'x,y,z'
'-x,-y,-z'
loop_
_atom_site_label
_atom_site_type_symbol
_atom_site_fract_x
_atom_site_fract_y
_atom_site_fract_z
Pr1 Pr 0.0008 0.0014 0.2520
Np1 Np 0.5000 0.5000 0.5000
Cd1 Cd 0.5000 0.5000 0.0000
O1 O 0.0401 0.7492 0.0012
O2 O 0.0623 0.7231 0.5005
O3 O 0.4528 0.2642 0.7022
O4 O 0.4542 0.2671 0.2954
```

# 9
The following is a PBE calculation of a relaxed structure of BaGdHgGe, from Alexandria.

Properties
Energy relative to the elements (eV per atom): -0.418
Total moment (μB per cell): 29.60
Crystal system: cubic

```
data_BaGdHgGe
_chemical_formula_sum 'Ba4 Gd4 Hg4 Ge4'
_cell_length_a 7.8171
_cell_length_b 7.8171
_cell_length_c 7.8171
_cell_angle_alpha 90.00
_cell_angle_beta 90.00
_cell_angle_gamma 90.00
_space_group_name_H-M_alt 'F -4 3 m'
_space_group_IT_number 216
_space_group_name_Hall 'F -4 2 3'
loop_
_atom_site_label
_atom_site_type_symbol
_atom_site_fract_x
_atom_site_fract_y
_atom_site_fract_z
Ba1 Ba 0.0000 0.0000 0.0000
Gd1 Gd 0.0000 0.0000 0.5000
Hg1 Hg 0.2500 0.2500 0.7500
Ge1 Ge 0.2500 0.2500 0.2500
```

# 10
The following is a PBE calculation of a relaxed structure of CeDyAg3, from Alexandria.

Properties
Energy relative to the elements (eV per atom): -0.191
Total moment (μB per cell): 5.25
Crystal system: orthorhombic

```
data_CeDyAg3
_chemical_formula_sum 'Ce4 Dy4 Ag12'
_cell_length_a 3.4109
_cell_length_b 28.5071
_cell_length_c 4.8701
_cell_angle_alpha 90.00
_cell_angle_beta 90.00
_cell_angle_gamma 90.00
_space_group_name_H-M_alt 'C m c m'
_space_group_IT_number 63
_space_group_name_Hall '-C 2c 2'
loop_
_atom_site_label
_atom_site_type_symbol
_atom_site_fract_x
_atom_site_fract_y
_atom_site_fract_z
Ce1 Ce 0.0000 0.0753 0.2500
Dy1 Dy 0.0000 0.2107 0.7500
Ag1 Ag 0.0000 0.3217 0.7500
Ag2 Ag 0.0000 0.3777 0.2500
Ag3 Ag 0.0000 0.4758 0.2500
```

# 11
The following is a PBE calculation of a relaxed structure of HoHfIn, from Alexandria.

Properties
Polymorph energy (0 for the lowest one) (eV/atom): 0.0000
Energy relative to the elements (eV per atom): -0.174
Total moment (μB per cell): 0.00
Crystal system: tetragonal

```
data_HoHfIn
_chemical_formula_sum 'Ho2 Hf2 In2'
_cell_length_a 3.3831
_cell_length_b 3.3831
_cell_length_c 13.0510
_cell_angle_alpha 90.00
_cell_angle_beta 90.00
_cell_angle_gamma 90.00
_space_group_name_H-M_alt 'I 4 m m'
_space_group_IT_number 107
_space_group_name_Hall 'I 4 -2'
loop_
_atom_site_label
_atom_site_type_symbol
_atom_site_fract_x
_atom_site_fract_y
_atom_site_fract_z
Ho1 Ho 0.0000 0.0000 0.0000
Hf1 Hf 0.0000 0.0000 0.3279
In1 In 0.0000 0.0000 0.6736
```

# 12
The following is a PBE calculation of a relaxed structure of SrZrP2O, from Alexandria.

Properties
Polymorph energy (0 for the lowest one) (eV/atom): 0.0000
Total moment (μB per cell): 1.13
Crystal system: tetragonal

```
data_SrZrP2O
_chemical_formula_sum 'Sr1 Zr1 P2 O1'
_cell_length_a 5.2266
_cell_length_b 5.2266
_cell_length_c 4.1151
_cell_angle_alpha 90.00
_cell_angle_beta 90.00
_cell_angle_gamma 90.00
_space_group_name_H-M_alt 'P 4/m m m'
_space_group_IT_number 123
_space_group_name_Hall '-P 4 2'
loop_
_atom_site_label
_atom_site_type_symbol
_atom_site_fract_x
_atom_site_fract_y
_atom_site_fract_z
Sr1 Sr 0.0000 0.0000 0.0000
Zr1 Zr 0.5000 0.5000 0.5000
P1 P 0.0000 0.5000 0.5000
O1 O 0.5000 0.5000 0.0000
```

Calculated values (eV for the cell shown) of calculated total energy for the records, taken in order: -83.2, -18.0, -16.1, -5.4, -37.1, -45.9, -10.4, -92.5, -90.4, -80.2, -35.6, -31.9.